(1)
5
Lattice="4.566 0.000 0.000 0.000 4.566 0.000 0.000 0.000 4.311" Properties=species:S:1:pos:R:3 comment="TiCoRu2Pb PBE-GGA optimized geometry" space_group="P4/mmm (123)" pbc="T T T"
Ti 0.000 0.000 0.000
Co 0.000 0.000 2.155
Ru 0.000 2.283 2.155
Ru 2.283 0.000 2.155
Pb 2.283 2.283 0.000

---

(2)
10
Lattice="9.099 0.000 0.000 0.000 9.099 0.000 0.000 0.000 6.920" Properties=species:S:1:pos:R:3 comment="Cs2Ca2Cr PBE-GGA optimized geometry" e_above_lowest_polymorph_ev_per_fu=0.69 space_group="P4/mbm (127)" pbc="T T T"
Cs 1.327 3.223 0.000
Cs 3.223 7.772 0.000
Cs 5.876 1.327 0.000
Cs 7.772 5.876 0.000
Ca 1.563 6.112 3.460
Ca 2.986 1.563 3.460
Ca 6.112 7.536 3.460
Ca 7.536 2.986 3.460
Cr 0.000 0.000 0.000
Cr 4.549 4.549 0.000

---

(3)
3
Lattice="-1.932 1.932 5.977 1.932 -1.932 5.977 1.932 1.932 -5.977" Properties=species:S:1:pos:R:3 comment="AcPuAl PBE-GGA optimized geometry" space_group="I4mm (107)" pbc="T T T"
Ac 0.000 0.000 0.000
Pu 0.000 0.000 3.479
Al 0.000 0.000 7.981

---

Record order is preserved below.
Calculated formation energy: 0.686; 0.904; -0.002 eV per atom